VASP calculation (PBE) on a relaxed structure of Nd3RhO.

```
Nd3RhO
1.0
7.511 0.000 0.000
0.000 3.769 0.000
-2.351 0.000 8.291
Nd Rh O
6 2 2
Cartesian
-0.110 0.000 2.800 Nd
2.077 0.000 0.186 Nd
1.054 1.885 5.684 Nd
4.106 1.885 2.607 Nd
3.083 0.000 8.105 Nd
5.270 0.000 5.491 Nd
0.000 1.885 0.000 Rh
2.580 0.000 4.145 Rh
-1.176 1.885 4.145 O
3.756 1.885 0.000 O
```

Calculated values
Total magnetization ... 0.000 μB per formula unit
Formation energy without anion corrections ... -1299 meV/atom
N(E_F) ... 0.743 states/eV per atom
Space-group type ... No. 10